one:
Ac2Sm8Dy PBE relaxed; D(E_F) = 13.54 states/eV/cell; magnetic moment = 0.00 μB/f.u.
1.0
7.2795 -3.4623 0.0000
7.2795 3.4623 0.0000
-2.0680 0.0000 7.8774
Ac Sm Dy
2 8 1
direct
0.1733 0.1733 0.2477
0.8267 0.8267 0.7523
0.1962 0.6656 0.1446
0.2580 0.2580 0.8081
0.3344 0.8038 0.8554
0.3937 0.3937 0.5268
0.6063 0.6063 0.4732
0.6656 0.1962 0.1446
0.7420 0.7420 0.1919
0.8038 0.3344 0.8554
0.0000 0.0000 0.5000

two:
Ac2Sm8Dy PBE relaxed; D(E_F) = 16.35 states/eV/cell; magnetic moment = 0.00 μB/f.u.
1.0
9.9241 -3.5638 0.0000
9.9241 3.5638 0.0000
-0.3233 0.0000 5.7306
Ac Sm Dy
2 8 1
direct
0.2189 0.2189 0.2576
0.7811 0.7811 0.7424
0.0442 0.0442 0.2339
0.1145 0.6417 0.2682
0.3244 0.3244 0.7754
0.3583 0.8855 0.7318
0.6417 0.1145 0.2682
0.6756 0.6756 0.2246
0.8855 0.3583 0.7318
0.9558 0.9558 0.7661
0.5000 0.5000 0.0000

Relative calculated energies, zero for the most stable structure, unit meV/atom: one 0; two 26.

one:
AcSm6Dy3 PBE relaxed; D(E_F) = 28.62 states/eV/cell; magnetic moment = 0.00 μB/f.u.
1.0
12.7246 0.0000 0.0000
0.0000 3.6864 0.0000
-1.6180 0.0000 14.6508
Ac Sm Dy
2 12 6
direct
0.1564 0.2500 0.3694
0.8436 0.7500 0.6306
0.1011 0.2500 0.0341
0.1126 0.7500 0.5859
0.2568 0.7500 0.1829
0.2747 0.7500 0.9245
0.3332 0.2500 0.7276
0.3720 0.7500 0.5079
0.6280 0.2500 0.4921
0.6668 0.7500 0.2724
0.7253 0.2500 0.0755
0.7432 0.2500 0.8171
0.8874 0.2500 0.4141
0.8989 0.7500 0.9659
0.0466 0.2500 0.7939
0.4388 0.2500 0.3182
0.4593 0.2500 0.0925
0.5407 0.7500 0.9075
0.5612 0.7500 0.6818
0.9534 0.7500 0.2061

two:
AcSm6Dy3 PBE relaxed; D(E_F) = 28.79 states/eV/cell; magnetic moment = 0.00 μB/f.u.
1.0
5.7105 -6.6591 0.0000
5.7105 6.6591 0.0000
0.0000 0.0000 9.2992
Ac Sm Dy
2 12 6
direct
0.2424 0.7576 0.5000
0.7576 0.2424 0.0000
0.0801 0.3025 0.6138
0.0812 0.4067 0.2634
0.2690 0.7310 0.9452
0.3025 0.0801 0.1138
0.4067 0.0812 0.7634
0.4904 0.5096 0.1956
0.5096 0.4904 0.6956
0.5933 0.9188 0.2634
0.6975 0.9199 0.6138
0.7310 0.2690 0.4452
0.9188 0.5933 0.7634
0.9199 0.6975 0.1138
0.0230 0.9770 0.8438
0.2037 0.3610 0.9290
0.3610 0.2037 0.4290
0.6390 0.7963 0.9290
0.7963 0.6390 0.4290
0.9770 0.0230 0.3438

Relative calculated energies, zero for the most stable structure, unit meV/atom: one 0; two 119.

one:
AcSm7Dy4 PBE relaxed; D(E_F) = 16.06 states/eV/cell; magnetic moment = 0.00 μB/f.u.
1.0
6.3296 0.0000 0.0000
-0.0004 7.3197 0.0000
-2.1146 -0.0038 8.7727
Ac Sm Dy
1 7 4
direct
0.0000 0.0000 0.0000
0.0000 0.5000 0.0000
0.2251 0.0000 0.6622
0.2811 0.7457 0.3376
0.5001 0.2555 0.0009
0.4999 0.7445 0.9991
0.7189 0.2543 0.6624
0.7749 0.0000 0.3378
0.2184 0.4998 0.6651
0.2794 0.2557 0.3363
0.7206 0.7443 0.6637
0.7816 0.5002 0.3349

two:
AcSm7Dy4 PBE relaxed; D(E_F) = 20.00 states/eV/cell; magnetic moment = 0.34 μB/f.u.
1.0
8.0588 -3.0559 0.0000
8.0588 3.0559 0.0000
-4.1947 0.0000 8.4508
Ac Sm Dy
1 7 4
direct
0.0000 0.0000 0.0000
0.0915 0.0915 0.4633
0.2180 0.2180 0.8912
0.2255 0.2255 0.2589
0.5000 0.5000 0.0000
0.7745 0.7745 0.7411
0.7820 0.7820 0.1088
0.9085 0.9085 0.5367
0.3338 0.3338 0.6368
0.4329 0.4329 0.2991
0.5671 0.5671 0.7009
0.6662 0.6662 0.3632

Relative calculated energies, zero for the most stable structure, unit meV/atom: one 0; two 235.

one:
AcSm3Dy7 PBE relaxed; D(E_F) = 16.49 states/eV/cell; magnetic moment = 0.00 μB/f.u.
1.0
5.8464 -4.9864 0.0000
5.8464 4.9864 0.0000
-0.5748 0.0000 6.5205
Ac Sm Dy
1 3 7
direct
0.0000 0.0000 0.0000
0.3256 0.6744 0.5000
0.5000 0.5000 0.0000
0.6744 0.3256 0.5000
0.0000 0.0000 0.5000
0.0753 0.4211 0.7591
0.2656 0.2656 0.3008
0.4211 0.0753 0.7591
0.5789 0.9247 0.2409
0.7344 0.7344 0.6992
0.9247 0.5789 0.2409

two:
AcSm3Dy7 PBE relaxed; D(E_F) = 17.58 states/eV/cell; magnetic moment = 0.00 μB/f.u.
1.0
7.1317 0.0000 0.0000
-3.5659 6.1763 0.0000
0.0000 0.0000 8.7604
Ac Sm Dy
1 3 7
direct
0.0000 0.0000 0.0000
0.1681 0.3361 0.6584
0.1681 0.8319 0.6584
0.6639 0.8319 0.6584
0.0023 0.5011 0.9998
0.3333 0.6667 0.3249
0.3340 0.1670 0.3302
0.4989 0.5011 0.9998
0.4989 0.9977 0.9998
0.8330 0.1670 0.3302
0.8330 0.6660 0.3302

Relative calculated energies, zero for the most stable structure, unit meV/atom: one 19; two 0.

one:
AcSm5Dy3 PBE relaxed; D(E_F) = 26.20 states/eV/cell; magnetic moment = 0.00 μB/f.u.
1.0
6.1265 -5.8742 0.0000
6.1265 5.8742 0.0000
-2.4467 0.0000 9.7265
Ac Sm Dy
2 10 6
direct
0.2362 0.2362 0.2261
0.7638 0.7638 0.7739
0.1109 0.6168 0.3715
0.2464 0.2464 0.9000
0.2542 0.7458 0.0000
0.2630 0.2630 0.5826
0.3832 0.8891 0.6285
0.6168 0.1109 0.3715
0.7370 0.7370 0.4174
0.7458 0.2542 0.0000
0.7536 0.7536 0.1000
0.8891 0.3832 0.6285
0.0000 0.0000 0.0000
0.0057 0.0057 0.3444
0.4977 0.4977 0.8286
0.5000 0.5000 0.5000
0.5023 0.5023 0.1714
0.9943 0.9943 0.6556

two:
AcSm5Dy3 PBE relaxed; D(E_F) = 28.81 states/eV/cell; magnetic moment = 0.00 μB/f.u.
1.0
7.6682 -5.0235 0.0000
7.6682 5.0235 0.0000
-4.4739 0.0000 7.9516
Ac Sm Dy
2 10 6
direct
0.0936 0.9064 0.7500
0.9064 0.0936 0.2500
0.0656 0.2693 0.0763
0.2524 0.3987 0.9022
0.2693 0.0656 0.5763
0.3987 0.2524 0.4022
0.4356 0.5644 0.7500
0.5644 0.4356 0.2500
0.6013 0.7476 0.5978
0.7307 0.9344 0.4237
0.7476 0.6013 0.0978
0.9344 0.7307 0.9237
0.0000 0.5000 0.5000
0.1706 0.6617 0.3342
0.3383 0.8294 0.1658
0.5000 0.0000 0.0000
0.6617 0.1706 0.8342
0.8294 0.3383 0.6658

Relative calculated energies, zero for the most stable structure, unit meV/atom: one 457; two 0.

one:
AcSmDyTh PBE relaxed; D(E_F) = 28.25 states/eV/cell; magnetic moment = 0.00 μB/f.u.
1.0
8.2583 0.0000 0.0000
0.0000 8.2583 0.0000
0.0000 0.0000 8.2583
Ac Sm Dy Th
4 4 4 4
direct
0.0000 0.0000 0.0000
0.0000 0.5000 0.5000
0.5000 0.0000 0.5000
0.5000 0.5000 0.0000
0.2500 0.2500 0.2500
0.2500 0.7500 0.7500
0.7500 0.2500 0.7500
0.7500 0.7500 0.2500
0.2500 0.2500 0.7500
0.2500 0.7500 0.2500
0.7500 0.2500 0.2500
0.7500 0.7500 0.7500
0.0000 0.0000 0.5000
0.0000 0.5000 0.0000
0.5000 0.0000 0.0000
0.5000 0.5000 0.5000

two:
AcSmDyTh PBE relaxed; D(E_F) = 4.72 states/eV/cell; magnetic moment = 0.00 μB/f.u.
1.0
3.6926 0.0000 0.0000
0.0000 3.6926 0.0000
0.0000 0.0000 10.3858
Ac Sm Dy Th
1 1 1 1
direct
0.0000 0.0000 0.0000
0.5000 0.5000 0.7252
0.5000 0.5000 0.2677
0.0000 0.0000 0.4941

Relative calculated energies, zero for the most stable structure, unit meV/atom: one 121; two 0.

one:
AcSmDyTm PBE relaxed; D(E_F) = 27.93 states/eV/cell; magnetic moment = 0.00 μB/f.u.
1.0
8.2512 0.0000 0.0000
0.0000 8.2512 0.0000
0.0000 0.0000 8.2512
Ac Sm Dy Tm
4 4 4 4
direct
0.0000 0.0000 0.0000
0.0000 0.5000 0.5000
0.5000 0.0000 0.5000
0.5000 0.5000 0.0000
0.0000 0.0000 0.5000
0.0000 0.5000 0.0000
0.5000 0.0000 0.0000
0.5000 0.5000 0.5000
0.2500 0.2500 0.7500
0.2500 0.7500 0.2500
0.7500 0.2500 0.2500
0.7500 0.7500 0.7500
0.2500 0.2500 0.2500
0.2500 0.7500 0.7500
0.7500 0.2500 0.7500
0.7500 0.7500 0.2500

two:
AcSmDyTm PBE relaxed; D(E_F) = 10.38 states/eV/cell; magnetic moment = 0.00 μB/f.u.
1.0
6.3808 0.0000 0.0000
0.0000 3.6819 0.0000
-2.1210 0.0000 11.8639
Ac Sm Dy Tm
2 2 2 2
direct
0.0000 0.0000 0.0000
0.5000 0.5000 0.0000
0.2440 0.0000 0.7331
0.7440 0.5000 0.7331
0.4191 0.0000 0.2604
0.9191 0.5000 0.2604
0.3318 0.5000 0.4955
0.8318 0.0000 0.4955

Relative calculated energies, zero for the most stable structure, unit meV/atom: one 50; two 0.

one:
AcSmDyZn PBE relaxed; D(E_F) = 24.65 states/eV/cell; magnetic moment = 0.00 μB/f.u.
1.0
7.8638 0.0000 0.0000
0.0000 7.8638 0.0000
0.0000 0.0000 7.8638
Ac Sm Dy Zn
4 4 4 4
direct
0.0000 0.0000 0.0000
0.0000 0.5000 0.5000
0.5000 0.0000 0.5000
0.5000 0.5000 0.0000
0.2500 0.2500 0.2500
0.2500 0.7500 0.7500
0.7500 0.2500 0.7500
0.7500 0.7500 0.2500
0.2500 0.2500 0.7500
0.2500 0.7500 0.2500
0.7500 0.2500 0.2500
0.7500 0.7500 0.7500
0.0000 0.0000 0.5000
0.0000 0.5000 0.0000
0.5000 0.0000 0.0000
0.5000 0.5000 0.5000

two:
AcSmDyZn PBE relaxed; D(E_F) = 5.97 states/eV/cell; magnetic moment = 0.00 μB/f.u.
1.0
3.6977 0.0000 0.0000
0.0000 3.6977 0.0000
0.0000 0.0000 8.9801
Ac Sm Dy Zn
1 1 1 1
direct
0.0000 0.0000 0.0000
0.5000 0.5000 0.6898
0.5000 0.5000 0.3023
0.0000 0.0000 0.4875

Relative calculated energies, zero for the most stable structure, unit meV/atom: one 295; two 0.